(1)
Density functional theory data (GGA-PBE) for a relaxed Cs2SrGaI5 crystal. Values from VASP.

Structure (Quantum ESPRESSO input):
```
&SYSTEM
  ibrav = 0, nat = 18, ntyp = 4
/
ATOMIC_SPECIES
Cs 132.91 Cs.upf
Sr 87.62 Sr.upf
Ga 69.72 Ga.upf
I 126.90 I.upf
CELL_PARAMETERS angstrom
2.543 -10.939 0.000
2.543 10.939 0.000
0.000 0.000 16.877
ATOMIC_POSITIONS angstrom
Cs 2.543 8.936 8.439
Cs 2.543 8.036 2.434
Cs 2.543 -8.036 10.873
Cs 2.543 -8.936 0.000
Sr 2.543 6.170 14.638
Sr 2.543 -6.170 6.199
Ga 2.543 1.020 4.954
Ga 2.543 -1.020 13.392
I 2.543 9.352 15.318
I 2.543 5.062 8.419
I 2.543 4.148 4.083
I 2.543 2.966 14.001
I 2.543 -0.008 1.985
I 2.543 0.008 10.423
I 2.543 -2.966 5.563
I 2.543 -4.148 12.522
I 2.543 -5.062 16.858
I 2.543 -9.352 6.879
```

Summary:
Uncorrected formation energy   -1.32 eV/atom

(2)
Density functional theory data (GGA-PBE) for a relaxed NpIr4 crystal. Values from VASP.

Structure (Quantum ESPRESSO input):
```
&SYSTEM
  ibrav = 0, nat = 10, ntyp = 2
/
ATOMIC_SPECIES
Np 237.00 Np.upf
Ir 192.22 Ir.upf
CELL_PARAMETERS angstrom
-2.112 2.827 6.852
2.112 -2.827 6.852
2.112 2.827 -6.852
ATOMIC_POSITIONS angstrom
Np 0.000 1.413 1.491
Np 2.112 1.413 5.361
Ir 2.112 0.000 0.000
Ir 2.112 -1.413 5.404
Ir 2.112 -0.072 2.680
Ir 2.112 2.755 -2.680
Ir 0.000 0.000 6.852
Ir 0.000 0.072 9.532
Ir 0.000 2.899 4.173
Ir 0.000 4.240 1.449
```

Summary:
Energy relative to the elements   -0.23 eV per atom

(3)
Density functional theory data (GGA-PBE) for a relaxed LaInNi crystal. Values from VASP.

Structure (Quantum ESPRESSO input):
```
&SYSTEM
  ibrav = 0, nat = 6, ntyp = 3
/
ATOMIC_SPECIES
La 138.91 La.upf
In 114.82 In.upf
Ni 58.69 Ni.upf
CELL_PARAMETERS angstrom
5.171 0.000 0.000
0.000 4.397 0.000
-1.531 0.000 6.699
ATOMIC_POSITIONS angstrom
La 0.000 0.000 0.000
La 1.203 2.199 4.376
In 2.414 2.199 1.163
In 3.902 0.000 3.132
Ni -0.208 2.199 1.991
Ni 3.767 2.199 4.471
```

Summary:
Energy relative to the elements   -0.31 eV per atom

Calculated volume, respectively: 52.2 16.4 25.4 Å³ per atom.